Model A:
# GGA-PBE Li2H6Pt, optimized geometry
data_Li2H6Pt
_symmetry_space_group_name_H-M 'P 42/m n m'
_symmetry_Int_Tables_number 136
_symmetry_space_group_name_Hall '-P 4n 2n'
_cell_length_a 4.389
_cell_length_b 4.389
_cell_length_c 8.240
_cell_angle_alpha 90.00
_cell_angle_beta 90.00
_cell_angle_gamma 90.00
loop_
_atom_site_label
_atom_site_fract_x
_atom_site_fract_y
_atom_site_fract_z
Li1 0.000 0.000 0.166
H1 0.186 0.186 0.358
H2 0.235 0.235 0.000
Pt1 0.000 0.000 0.500
# V = 158.7 Å³/cell

Model B:
# GGA-PBE Li2H6Pt, optimized geometry
data_Li2H6Pt
_symmetry_space_group_name_H-M 'F m -3 m'
_symmetry_Int_Tables_number 225
_symmetry_space_group_name_Hall '-F 4 2 3'
_cell_length_a 6.625
_cell_length_b 6.625
_cell_length_c 6.625
_cell_angle_alpha 90.00
_cell_angle_beta 90.00
_cell_angle_gamma 90.00
loop_
_atom_site_label
_atom_site_fract_x
_atom_site_fract_y
_atom_site_fract_z
Li1 0.250 0.250 0.250
H1 0.000 0.000 0.249
Pt1 0.000 0.000 0.000
# V = 290.7 Å³/cell

Stability ranking, top and bottom: model B is the most stable and model A is the least stable.

Model A:
# GGA-PBE LiHPt2Rh, optimized geometry
data_LiHPt2Rh
_symmetry_space_group_name_H-M 'P 4/m m m'
_symmetry_Int_Tables_number 123
_symmetry_space_group_name_Hall '-P 4 2'
_cell_length_a 3.958
_cell_length_b 3.958
_cell_length_c 3.884
_cell_angle_alpha 90.00
_cell_angle_beta 90.00
_cell_angle_gamma 90.00
loop_
_atom_site_label
_atom_site_fract_x
_atom_site_fract_y
_atom_site_fract_z
Li1 0.000 0.000 0.000
H1 0.500 0.500 0.500
Pt1 0.000 0.500 0.500
Rh1 0.500 0.500 0.000
# V = 60.9 Å³/cell

Model B:
# GGA-PBE LiHPt2Rh, optimized geometry
data_LiHPt2Rh
_symmetry_space_group_name_H-M 'P 4/m m m'
_symmetry_Int_Tables_number 123
_symmetry_space_group_name_Hall '-P 4 2'
_cell_length_a 3.889
_cell_length_b 3.889
_cell_length_c 3.957
_cell_angle_alpha 90.00
_cell_angle_beta 90.00
_cell_angle_gamma 90.00
loop_
_atom_site_label
_atom_site_fract_x
_atom_site_fract_y
_atom_site_fract_z
Li1 0.000 0.000 0.000
H1 0.000 0.000 0.500
Pt1 0.000 0.500 0.500
Rh1 0.500 0.500 0.000
# V = 59.8 Å³/cell

Stability ranking, top and bottom: model B is the most stable and model A is the least stable.

Model A:
# GGA-PBE LiSbHPtSe, optimized geometry
data_LiSbHPtSe
_symmetry_space_group_name_H-M 'P 1'
_symmetry_Int_Tables_number 1
_cell_length_a 3.924
_cell_length_b 4.229
_cell_length_c 7.618
_cell_angle_alpha 87.44
_cell_angle_beta 75.16
_cell_angle_gamma 62.60
loop_
_symmetry_equiv_pos_as_xyz
'x,y,z'
loop_
_atom_site_label
_atom_site_fract_x
_atom_site_fract_y
_atom_site_fract_z
Li1 0.000 0.000 0.000
Sb1 0.245 0.018 0.497
H1 0.094 0.080 0.740
Pt1 0.657 0.341 0.351
Se1 0.245 0.400 0.116
# V = 108.1 Å³/cell

Model B:
# GGA-PBE LiSbHPtSe, optimized geometry
data_LiSbHPtSe
_symmetry_space_group_name_H-M 'C 1 m 1'
_symmetry_Int_Tables_number 8
_cell_length_a 7.897
_cell_length_b 4.076
_cell_length_c 6.161
_cell_angle_alpha 90.00
_cell_angle_beta 107.45
_cell_angle_gamma 90.00
loop_
_symmetry_equiv_pos_as_xyz
'x,y,z'
'x,-y,z'
'x+1/2,y+1/2,z'
'x+1/2,-y+1/2,z'
loop_
_atom_site_label
_atom_site_fract_x
_atom_site_fract_y
_atom_site_fract_z
Li1 0.000 0.000 0.000
Sb1 0.279 0.000 0.501
H1 0.196 0.500 0.182
Pt1 0.065 0.500 0.336
Se1 0.304 0.000 0.943
# V = 189.2 Å³/cell

Stability ranking, top and bottom: model B is the most stable and model A is the least stable.